[1]
This record from Alexandria via LeMat-Bulk describes a relaxed structure of TaHg3Au. The functional is PBE.

Geometry as CIF:
```
data_TaHg3Au
_chemical_formula_sum 'Ta1 Hg3 Au1'
_symmetry_space_group_name_H-M 'P m -3 m'
_symmetry_Int_Tables_number 221
_symmetry_space_group_name_Hall '-P 4 2 3'
_cell_length_a 5.412
_cell_length_b 5.412
_cell_length_c 5.412
_cell_angle_alpha 90.00
_cell_angle_beta 90.00
_cell_angle_gamma 90.00
loop_
_atom_site_label
_atom_site_fract_x
_atom_site_fract_y
_atom_site_fract_z
_atom_site_occupancy
Ta1 0.000 0.000 0.000 1
Hg1 0.000 0.000 0.500 1
Au1 0.500 0.500 0.500 1
```

=====

[2]
This record from Alexandria via LeMat-Bulk describes a relaxed structure of Ta2HgAu. The functional is PBE.

Geometry as CIF:
```
data_Ta2HgAu
_chemical_formula_sum 'Ta2 Hg1 Au1'
_symmetry_space_group_name_H-M 'P 4/m m m'
_symmetry_Int_Tables_number 123
_symmetry_space_group_name_Hall '-P 4 2'
_cell_length_a 4.174
_cell_length_b 4.174
_cell_length_c 4.226
_cell_angle_alpha 90.00
_cell_angle_beta 90.00
_cell_angle_gamma 90.00
loop_
_atom_site_label
_atom_site_fract_x
_atom_site_fract_y
_atom_site_fract_z
_atom_site_occupancy
Ta1 0.000 0.500 0.000 1
Hg1 0.000 0.000 0.500 1
Au1 0.500 0.500 0.500 1
```

=====

[3]
This record from Alexandria via LeMat-Bulk describes a relaxed structure of TaHgAu2. The functional is PBE.

Geometry as CIF:
```
data_TaHgAu2
_chemical_formula_sum 'Ta1 Hg1 Au2'
_symmetry_space_group_name_H-M 'P 4/m m m'
_symmetry_Int_Tables_number 123
_symmetry_space_group_name_Hall '-P 4 2'
_cell_length_a 3.023
_cell_length_b 3.023
_cell_length_c 8.299
_cell_angle_alpha 90.00
_cell_angle_beta 90.00
_cell_angle_gamma 90.00
loop_
_atom_site_label
_atom_site_fract_x
_atom_site_fract_y
_atom_site_fract_z
_atom_site_occupancy
Ta1 0.000 0.000 0.000 1
Hg1 0.000 0.000 0.500 1
Au1 0.500 0.500 0.230 1
```

=====

[4]
This record from Alexandria via LeMat-Bulk describes a relaxed structure of TaHgAu3. The functional is PBE.

Geometry as CIF:
```
data_TaHgAu3
_chemical_formula_sum 'Ta1 Hg1 Au3'
_symmetry_space_group_name_H-M 'P m -3 m'
_symmetry_Int_Tables_number 221
_symmetry_space_group_name_Hall '-P 4 2 3'
_cell_length_a 5.073
_cell_length_b 5.073
_cell_length_c 5.073
_cell_angle_alpha 90.00
_cell_angle_beta 90.00
_cell_angle_gamma 90.00
loop_
_atom_site_label
_atom_site_fract_x
_atom_site_fract_y
_atom_site_fract_z
_atom_site_occupancy
Ta1 0.000 0.000 0.000 1
Hg1 0.500 0.500 0.500 1
Au1 0.000 0.500 0.500 1
```

=====

[5]
This record from Alexandria via LeMat-Bulk describes a relaxed structure of Ta2HgAu. The functional is PBE.

Geometry as CIF:
```
data_Ta2HgAu
_chemical_formula_sum 'Ta4 Hg2 Au2'
_symmetry_space_group_name_H-M 'C m m m'
_symmetry_Int_Tables_number 65
_symmetry_space_group_name_Hall '-C 2 2'
_cell_length_a 5.921
_cell_length_b 8.383
_cell_length_c 2.969
_cell_angle_alpha 90.00
_cell_angle_beta 90.00
_cell_angle_gamma 90.00
loop_
_atom_site_label
_atom_site_fract_x
_atom_site_fract_y
_atom_site_fract_z
_atom_site_occupancy
Ta1 0.250 0.250 0.000 1
Hg1 0.000 0.000 0.500 1
Au1 0.000 0.500 0.500 1
```

=====

[6]
This record from Alexandria via LeMat-Bulk describes a relaxed structure of TaHgAu. The functional is PBE.

Geometry as CIF:
```
data_TaHgAu
_chemical_formula_sum 'Ta2 Hg2 Au2'
_symmetry_space_group_name_H-M 'P 4/n m m'
_symmetry_Int_Tables_number 129
_cell_length_a 2.932
_cell_length_b 2.932
_cell_length_c 13.746
_cell_angle_alpha 90.00
_cell_angle_beta 90.00
_cell_angle_gamma 90.00
loop_
_symmetry_equiv_pos_as_xyz
'x,y,z'
'-x,-y,-z'
'-y+1/2,x,z'
'y+1/2,-x,-z'
'-x+1/2,-y+1/2,z'
'x+1/2,y+1/2,-z'
'y,-x+1/2,z'
'-y,x+1/2,-z'
'x+1/2,-y,-z'
'-x+1/2,y,z'
'-y,-x,-z'
'y,x,z'
'-x,y+1/2,-z'
'x,-y+1/2,z'
'y+1/2,x+1/2,-z'
'-y+1/2,-x+1/2,z'
loop_
_atom_site_label
_atom_site_fract_x
_atom_site_fract_y
_atom_site_fract_z
_atom_site_occupancy
Ta1 0.250 0.250 0.081 1
Hg1 0.250 0.250 0.404 1
Au1 0.250 0.250 0.771 1
```

=====

[7]
This record from Alexandria via LeMat-Bulk describes a relaxed structure of Ta2HgAu. The functional is PBE.

Geometry as CIF:
```
data_Ta2HgAu
_chemical_formula_sum 'Ta4 Hg2 Au2'
_symmetry_space_group_name_H-M 'C m m 2'
_symmetry_Int_Tables_number 35
_symmetry_space_group_name_Hall 'C 2 -2'
_cell_length_a 3.617
_cell_length_b 4.505
_cell_length_c 9.260
_cell_angle_alpha 90.00
_cell_angle_beta 90.00
_cell_angle_gamma 90.00
loop_
_atom_site_label
_atom_site_fract_x
_atom_site_fract_y
_atom_site_fract_z
_atom_site_occupancy
Ta1 0.000 0.000 0.000 1
Ta2 0.000 0.500 0.238 1
Hg1 0.000 0.500 0.741 1
Au1 0.000 0.000 0.474 1
```

=====

[8]
This record from Alexandria via LeMat-Bulk describes a relaxed structure of TaHgAu2. The functional is PBE.

Geometry as CIF:
```
data_TaHgAu2
_chemical_formula_sum 'Ta1 Hg1 Au2'
_symmetry_space_group_name_H-M 'P 4 m m'
_symmetry_Int_Tables_number 99
_symmetry_space_group_name_Hall 'P 4 -2'
_cell_length_a 3.007
_cell_length_b 3.007
_cell_length_c 8.288
_cell_angle_alpha 90.00
_cell_angle_beta 90.00
_cell_angle_gamma 90.00
loop_
_atom_site_label
_atom_site_fract_x
_atom_site_fract_y
_atom_site_fract_z
_atom_site_occupancy
Ta1 0.000 0.000 0.000 1
Hg1 0.500 0.500 0.742 1
Au1 0.000 0.000 0.480 1
Au2 0.500 0.500 0.229 1
```

=====

[9]
This record from Alexandria via LeMat-Bulk describes a relaxed structure of TaHgAu2. The functional is PBE.

Geometry as CIF:
```
data_TaHgAu2
_chemical_formula_sum 'Ta2 Hg2 Au4'
_symmetry_space_group_name_H-M 'I m m m'
_symmetry_Int_Tables_number 71
_symmetry_space_group_name_Hall '-I 2 2'
_cell_length_a 2.868
_cell_length_b 5.218
_cell_length_c 10.517
_cell_angle_alpha 90.00
_cell_angle_beta 90.00
_cell_angle_gamma 90.00
loop_
_atom_site_label
_atom_site_fract_x
_atom_site_fract_y
_atom_site_fract_z
_atom_site_occupancy
Ta1 0.000 0.000 0.000 1
Hg1 0.000 0.000 0.500 1
Au1 0.000 0.500 0.271 1
```

=====

[10]
This record from Alexandria via LeMat-Bulk describes a relaxed structure of Ta4HgAu. The functional is PBE.

Geometry as CIF:
```
data_Ta4HgAu
_chemical_formula_sum 'Ta16 Hg4 Au4'
_symmetry_space_group_name_H-M 'F -4 3 m'
_symmetry_Int_Tables_number 216
_symmetry_space_group_name_Hall 'F -4 2 3'
_cell_length_a 7.760
_cell_length_b 7.760
_cell_length_c 7.760
_cell_angle_alpha 90.00
_cell_angle_beta 90.00
_cell_angle_gamma 90.00
loop_
_atom_site_label
_atom_site_fract_x
_atom_site_fract_y
_atom_site_fract_z
_atom_site_occupancy
Ta1 0.124 0.124 0.376 1
Hg1 0.250 0.250 0.750 1
Au1 0.000 0.000 0.000 1
```

=====

[11]
This record from Alexandria via LeMat-Bulk describes a relaxed structure of TaHgAu2. The functional is PBE.

Geometry as CIF:
```
data_TaHgAu2
_chemical_formula_sum 'Ta2 Hg2 Au4'
_symmetry_space_group_name_H-M 'C 1 2/m 1'
_symmetry_Int_Tables_number 12
_symmetry_space_group_name_Hall '-C 2y'
_cell_length_a 9.378
_cell_length_b 2.895
_cell_length_c 5.651
_cell_angle_alpha 90.00
_cell_angle_beta 97.04
_cell_angle_gamma 90.00
loop_
_atom_site_label
_atom_site_fract_x
_atom_site_fract_y
_atom_site_fract_z
_atom_site_occupancy
Ta1 0.000 0.000 0.000 1
Hg1 0.000 0.500 0.500 1
Au1 0.244 0.500 0.228 1
```

=====

[12]
This record from Alexandria via LeMat-Bulk describes a relaxed structure of TaHgAu2. The functional is PBE.

Geometry as CIF:
```
data_TaHgAu2
_chemical_formula_sum 'Ta2 Hg2 Au4'
_symmetry_space_group_name_H-M 'C m m m'
_symmetry_Int_Tables_number 65
_symmetry_space_group_name_Hall '-C 2 2'
_cell_length_a 6.544
_cell_length_b 8.144
_cell_length_c 2.850
_cell_angle_alpha 90.00
_cell_angle_beta 90.00
_cell_angle_gamma 90.00
loop_
_atom_site_label
_atom_site_fract_x
_atom_site_fract_y
_atom_site_fract_z
_atom_site_occupancy
Ta1 0.000 0.000 0.000 1
Hg1 0.000 0.500 0.000 1
Au1 0.250 0.250 0.500 1
```

=====

[13]
This record from Alexandria via LeMat-Bulk describes a relaxed structure of Ta2HgAu. The functional is PBE.

Geometry as CIF:
```
data_Ta2HgAu
_chemical_formula_sum 'Ta4 Hg2 Au2'
_symmetry_space_group_name_H-M 'I m m 2'
_symmetry_Int_Tables_number 44
_symmetry_space_group_name_Hall 'I 2 -2'
_cell_length_a 3.050
_cell_length_b 5.062
_cell_length_c 9.855
_cell_angle_alpha 90.00
_cell_angle_beta 90.00
_cell_angle_gamma 90.00
loop_
_atom_site_label
_atom_site_fract_x
_atom_site_fract_y
_atom_site_fract_z
_atom_site_occupancy
Ta1 0.000 0.000 0.000 1
Ta2 0.000 0.500 0.263 1
Hg1 0.000 0.000 0.494 1
Au1 0.000 0.500 0.738 1
```

=====

[14]
This record from Alexandria via LeMat-Bulk describes a relaxed structure of TaHgAu2. The functional is PBE.

Geometry as CIF:
```
data_TaHgAu2
_chemical_formula_sum 'Ta2 Hg2 Au4'
_symmetry_space_group_name_H-M 'I m m 2'
_symmetry_Int_Tables_number 44
_symmetry_space_group_name_Hall 'I 2 -2'
_cell_length_a 2.882
_cell_length_b 5.144
_cell_length_c 10.396
_cell_angle_alpha 90.00
_cell_angle_beta 90.00
_cell_angle_gamma 90.00
loop_
_atom_site_label
_atom_site_fract_x
_atom_site_fract_y
_atom_site_fract_z
_atom_site_occupancy
Ta1 0.000 0.000 0.000 1
Hg1 0.000 0.500 0.749 1
Au1 0.000 0.000 0.514 1
Au2 0.000 0.500 0.269 1
```

=====

Number 1: density of states at the Fermi level 1.1154 states/eV/atom, DFT formation energy 1.08 eV/atom. Number 2: density of states at the Fermi level 0.9291 states/eV/atom, DFT formation energy 0.20 eV/atom. Number 3: density of states at the Fermi level 0.7566 states/eV/atom, DFT formation energy 0.00 eV/atom. Number 4: density of states at the Fermi level 0.8762 states/eV/atom, DFT formation energy 1.46 eV/atom. Number 5: density of states at the Fermi level 0.9388 states/eV/atom, DFT formation energy 0.22 eV/atom. Number 6: density of states at the Fermi level 0.7269 states/eV/atom, DFT formation energy 0.02 eV/atom. Number 7: density of states at the Fermi level 0.5790 states/eV/atom, DFT formation energy 0.07 eV/atom. Number 8: density of states at the Fermi level 0.8911 states/eV/atom, DFT formation energy 0.12 eV/atom. Number 9: density of states at the Fermi level 0.6299 states/eV/atom, DFT formation energy 0.24 eV/atom. Number 10: density of states at the Fermi level 0.8056 states/eV/atom, DFT formation energy 0.48 eV/atom. Number 11: density of states at the Fermi level 0.5235 states/eV/atom, DFT formation energy 0.17 eV/atom. Number 12: density of states at the Fermi level 0.9238 states/eV/atom, DFT formation energy 0.25 eV/atom. Number 13: density of states at the Fermi level 0.6765 states/eV/atom, DFT formation energy 0.25 eV/atom. Number 14: density of states at the Fermi level 0.5245 states/eV/atom, DFT formation energy 0.20 eV/atom.